# 1
This record from the Alexandria database describes an optimized crystal structure of YHfPCl2. The functional is PBE-GGA.

a b c (Å): 4.9932 4.9932 5.6998
angles (deg): 90.00 90.00 90.00
Last column: nearest neighbours and their distance in Å.
Element x y z (fractional)
Y 0.0000 0.0000 0.0000  4 Cl 2.50
Hf 0.5000 0.5000 0.5000  4 P 3.53, 8 Cl 3.79
P 0.0000 0.0000 0.5000  2 Y 2.85
Cl 0.0000 0.5000 0.0000  2 Y 2.50
Cl 0.5000 0.0000 0.0000  2 Y 2.50

Values from the calculation:
* VASP energy: -5.43 eV per atom
* total moment: 1.83 Bohr magnetons per cell
* relative energy among the computed polymorphs: 442 meV/atom
* space-group type: No. 123
* ΔE_f (raw): -1.6 eV per formula unit

---

# 2
This record from the Alexandria database describes an optimized crystal structure of HfZnP2Cl. The functional is PBE-GGA.

a b c (Å): 5.0390 5.0390 4.9225
angles (deg): 90.00 90.00 90.00
Last column: nearest neighbours and their distance in Å.
Element x y z (fractional)
Hf 0.0000 0.0000 0.0000  2 Cl 2.46, 4 P 2.52
Zn 0.5000 0.5000 0.5000  8 P 3.52, 4 Cl 3.56
P 0.0000 0.5000 0.0000  2 Hf 2.52
P 0.5000 0.0000 0.0000  2 Hf 2.52
Cl 0.0000 0.0000 0.5000  2 Hf 2.46

Values from the calculation:
* VASP energy: -4.80 eV per atom
* total moment: 0.00 Bohr magnetons per cell
* relative energy among the computed polymorphs: 0 meV/atom
* space-group type: No. 123
* ΔE_f (raw): -0.1 eV per formula unit

---

# 3
This record from the Alexandria database describes an optimized crystal structure of HfZnPCl2. The functional is PBE-GGA.

a b c (Å): 4.9353 4.9353 5.1630
angles (deg): 90.00 90.00 90.00
Last column: nearest neighbours and their distance in Å.
Element x y z (fractional)
Hf 0.0000 0.0000 0.0000  4 Cl 2.47, 2 P 2.58
Zn 0.5000 0.5000 0.5000  4 P 3.49, 8 Cl 3.57
P 0.0000 0.0000 0.5000  2 Hf 2.58
Cl 0.0000 0.5000 0.0000  2 Hf 2.47
Cl 0.5000 0.0000 0.0000  2 Hf 2.47

Values from the calculation:
* VASP energy: -4.60 eV per atom
* total moment: 0.00 Bohr magnetons per cell
* relative energy among the computed polymorphs: 0 meV/atom
* space-group type: No. 123
* ΔE_f (raw): -2.7 eV per formula unit

---

# 4
This record from the Alexandria database describes an optimized crystal structure of HfZnPCl2. The functional is PBE-GGA.

a b c (Å): 4.4479 4.4479 5.4538
angles (deg): 90.00 90.00 90.00
Last column: nearest neighbours and their distance in Å.
Element x y z (fractional)
Hf 0.0000 0.0000 0.0000  4 P 3.15, 8 Cl 3.52
Zn 0.5000 0.5000 0.5000  4 Cl 2.22
P 0.5000 0.5000 0.0000  2 Zn 2.73
Cl 0.0000 0.5000 0.5000  2 Zn 2.22
Cl 0.5000 0.0000 0.5000  2 Zn 2.22

Values from the calculation:
* VASP energy: -3.94 eV per atom
* total moment: 0.76 Bohr magnetons per cell
* relative energy among the computed polymorphs: 664 meV/atom
* space-group type: No. 123
* ΔE_f (raw): 0.6 eV per formula unit

---

# 5
This record from the Alexandria database describes an optimized crystal structure of HfZnP2Cl. The functional is PBE-GGA.

a b c (Å): 4.5963 4.5963 4.6459
angles (deg): 90.00 90.00 90.00
Last column: nearest neighbours and their distance in Å.
Element x y z (fractional)
Hf 0.0000 0.0000 0.0000  4 Cl 3.25, 8 P 3.27
Zn 0.5000 0.5000 0.5000  4 P 2.30, 2 Cl 2.32
P 0.0000 0.5000 0.5000  2 Zn 2.30
P 0.5000 0.0000 0.5000  2 Zn 2.30
Cl 0.5000 0.5000 0.0000  2 Zn 2.32

Values from the calculation:
* VASP energy: -4.35 eV per atom
* total moment: 0.00 Bohr magnetons per cell
* relative energy among the computed polymorphs: 445 meV/atom
* space-group type: No. 123
* ΔE_f (raw): 2.1 eV per formula unit

---

# 6
This record from the Alexandria database describes an optimized crystal structure of HfZrPCl2. The functional is PBE-GGA.

a b c (Å): 4.7842 4.7842 5.2057
angles (deg): 90.00 90.00 90.00
Last column: nearest neighbours and their distance in Å.
Element x y z (fractional)
Hf 0.0000 0.0000 0.0000  4 Cl 2.39, 2 P 2.60
Zr 0.5000 0.5000 0.5000  4 P 3.38, 8 Cl 3.54
P 0.0000 0.0000 0.5000  2 Hf 2.60
Cl 0.0000 0.5000 0.0000  2 Hf 2.39
Cl 0.5000 0.0000 0.0000  2 Hf 2.39

Values from the calculation:
* VASP energy: -5.78 eV per atom
* total moment: 2.17 Bohr magnetons per cell
* relative energy among the computed polymorphs: 0 meV/atom
* space-group type: No. 123
* ΔE_f (raw): -1.3 eV per formula unit

---

# 7
This record from the Alexandria database describes an optimized crystal structure of HfZrPCl2. The functional is PBE-GGA.

a b c (Å): 4.8152 4.8152 5.3239
angles (deg): 90.00 90.00 90.00
Last column: nearest neighbours and their distance in Å.
Element x y z (fractional)
Hf 0.0000 0.0000 0.0000  4 P 3.40, 8 Cl 3.59
Zr 0.5000 0.5000 0.5000  4 Cl 2.41, 2 P 2.66
P 0.5000 0.5000 0.0000  2 Zr 2.66
Cl 0.0000 0.5000 0.5000  2 Zr 2.41
Cl 0.5000 0.0000 0.5000  2 Zr 2.41

Values from the calculation:
* VASP energy: -5.61 eV per atom
* total moment: 1.67 Bohr magnetons per cell
* relative energy among the computed polymorphs: 170 meV/atom
* space-group type: No. 123
* ΔE_f (raw): -0.4 eV per formula unit

---

# 8
This record from the Alexandria database describes an optimized crystal structure of HfZrP2Cl. The functional is PBE-GGA.

a b c (Å): 5.0456 5.0456 4.6931
angles (deg): 90.00 90.00 90.00
Last column: nearest neighbours and their distance in Å.
Element x y z (fractional)
Hf 0.0000 0.0000 0.0000  8 P 3.45, 4 Cl 3.57
Zr 0.5000 0.5000 0.5000  2 Cl 2.35, 4 P 2.52
P 0.0000 0.5000 0.5000  2 Zr 2.52
P 0.5000 0.0000 0.5000  2 Zr 2.52
Cl 0.5000 0.5000 0.0000  2 Zr 2.35

Values from the calculation:
* VASP energy: -6.12 eV per atom
* total moment: 0.64 Bohr magnetons per cell
* relative energy among the computed polymorphs: 209 meV/atom
* space-group type: No. 123
* ΔE_f (raw): 0.5 eV per formula unit